(1)
Density functional theory data (GGA-PBE) for Ir3RhF after structural relaxation.

a = 4.215 Å, b = 4.215 Å, c = 4.215 Å
α = 90.00°, β = 90.00°, γ = 90.00°
Space group Pm-3m (No. 221)
Inequivalent atoms, fractional coordinates:
Ir: 0.000 0.000 0.500 [3 per cell]
Rh: 0.500 0.500 0.500 [1 per cell]
F: 0.000 0.000 0.000 [1 per cell]

Calculated values
* energy relative to the lowest polymorph listed for this composition: 0.000 eV/atom
* M_tot: 0.00 Bohr magnetons per cell
* density of states at the Fermi level: 10.4 states/eV per cell
* crystal system: cubic
* formation energy (no corrections): 1.367 eV per atom

***

(2)
Density functional theory data (GGA-PBE) for IrRhF6 after structural relaxation.

a = 4.9326 Å, b = 4.9326 Å, c = 4.6332 Å
α = 90.00°, β = 90.00°, γ = 120.00°
Space group P312 (No. 149)
Inequivalent atoms, fractional coordinates:
Ir: 0.0000 0.0000 0.0000 [1 per cell]
Rh: 0.3333 0.6667 0.5000 [1 per cell]
F: 0.3422 0.0119 0.2475 [6 per cell]

Calculated values
* M_tot: 0.00 Bohr magnetons per cell
* crystal system: trigonal
* formation energy (no corrections): -1.389 eV per atom

***

(3)
Density functional theory data (GGA-PBE) for IrRh2F after structural relaxation.

a = 6.432 Å, b = 6.432 Å, c = 5.628 Å
α = 90.00°, β = 90.00°, γ = 90.00°
Space group I-42d (No. 122)
Inequivalent atoms, fractional coordinates:
Ir: 0.000 0.000 0.000 [4 per cell]
Rh: 0.229 0.250 0.625 [8 per cell]
F: 0.000 0.000 0.500 [4 per cell]

Calculated values
* energy relative to the lowest polymorph listed for this composition: 0.153 eV/atom
* M_tot: 0.00 Bohr magnetons per cell
* density of states at the Fermi level: 23.0 states/eV per cell
* crystal system: tetragonal
* formation energy (no corrections): 0.339 eV per atom

***

(4)
Density functional theory data (GGA-PBE) for IrRh3F after structural relaxation.

a = 4.188 Å, b = 4.188 Å, c = 4.188 Å
α = 90.00°, β = 90.00°, γ = 90.00°
Space group Pm-3m (No. 221)
Inequivalent atoms, fractional coordinates:
Ir: 0.000 0.000 0.000 [1 per cell]
Rh: 0.000 0.500 0.500 [3 per cell]
F: 0.500 0.500 0.500 [1 per cell]

Calculated values
* M_tot: 2.43 Bohr magnetons per cell
* density of states at the Fermi level: 9.1 states/eV per cell
* crystal system: cubic
* formation energy (no corrections): 0.868 eV per atom

***

(5)
Density functional theory data (GGA-PBE) for IrRhF2 after structural relaxation.

a = 7.214 Å, b = 7.214 Å, c = 4.804 Å
α = 90.00°, β = 90.00°, γ = 90.00°
Space group I-42d (No. 122)
Inequivalent atoms, fractional coordinates:
Ir: 0.000 0.000 0.000 [4 per cell]
Rh: 0.000 0.000 0.500 [4 per cell]
F: 0.144 0.250 0.125 [8 per cell]

Calculated values
* energy relative to the lowest polymorph listed for this composition: 0.710 eV/atom
* M_tot: 2.79 Bohr magnetons per cell
* density of states at the Fermi level: 18.0 states/eV per cell
* crystal system: tetragonal
* formation energy (no corrections): 0.285 eV per atom

***

(6)
Density functional theory data (GGA-PBE) for IrRh2F after structural relaxation.

a = 6.027 Å, b = 6.027 Å, c = 6.027 Å
α = 90.00°, β = 90.00°, γ = 90.00°
Space group Fm-3m (No. 225)
Inequivalent atoms, fractional coordinates:
Ir: 0.000 0.000 0.000 [4 per cell]
Rh: 0.250 0.250 0.250 [8 per cell]
F: 0.000 0.000 0.500 [4 per cell]

Calculated values
* energy relative to the lowest polymorph listed for this composition: 0.000 eV/atom
* M_tot: 0.00 Bohr magnetons per cell
* density of states at the Fermi level: 25.6 states/eV per cell
* crystal system: cubic
* formation energy (no corrections): 0.186 eV per atom

***

(7)
Density functional theory data (GGA-PBE) for Sr2IrRhF after structural relaxation.

a = 4.995 Å, b = 4.995 Å, c = 4.298 Å
α = 90.00°, β = 90.00°, γ = 90.00°
Space group P4/mmm (No. 123)
Inequivalent atoms, fractional coordinates:
Sr: 0.000 0.500 0.000 [2 per cell]
Ir: 0.000 0.000 0.500 [1 per cell]
Rh: 0.500 0.500 0.500 [1 per cell]
F: 0.000 0.000 0.000 [1 per cell]

Calculated values
* M_tot: 0.00 Bohr magnetons per cell
* density of states at the Fermi level: 3.5 states/eV per cell
* crystal system: tetragonal
* formation energy (no corrections): -0.429 eV per atom

***

(8)
Density functional theory data (GGA-PBE) for IrRuF2 after structural relaxation.

a = 2.6813 Å, b = 2.6813 Å, c = 24.1117 Å
α = 90.00°, β = 90.00°, γ = 120.00°
Space group R-3m (No. 166, hexagonal axes)
Inequivalent atoms, fractional coordinates:
Ir: 0.0000 0.0000 0.0000 [3 per cell]
Ru: 0.0000 0.0000 0.5000 [3 per cell]
F: 0.0000 0.0000 0.0835 [6 per cell]

Calculated values
* energy relative to the lowest polymorph listed for this composition: 0.021 eV/atom
* M_tot: 4.14 Bohr magnetons per cell
* density of states at the Fermi level: 9.3 states/eV per cell
* crystal system: trigonal
* formation energy (no corrections): -0.312 eV per atom

***

> The highest formation energy (no corrections) belongs to which entry?

Ir3RhF